# YCd2Re

A relaxed YCd2Re crystal (PBE, the Alexandria database).

a = 5.468 Å, b = 5.468 Å, c = 3.010 Å
α = 90.00°, β = 90.00°, γ = 114.99°
Sites, in units of the cell vectors:
Y 0.000 0.500 0.500
Re 0.500 0.000 0.500
Cd 0.000 0.000 0.000
Cd 0.500 0.500 0.000

Properties
N(E_F) in states/eV per cell: 2.53
Calculated total energy in hartree per atom: -0.176
Volume in Å³/cell: 81.6
Space group: Cmmm (65)